Density functional theory data (GGA+U) for a relaxed Rb2Zn2Mo3O12 crystal.

Results
- E (eV per atom) = -6.1757

```
data_Rb2Zn2Mo3O12
_chemical_formula_sum 'Rb8 Zn8 Mo12 O48'
_cell_length_a 7.169
_cell_length_b 9.488
_cell_length_c 19.856
_cell_angle_alpha 90.00
_cell_angle_beta 90.71
_cell_angle_gamma 90.00
_symmetry_space_group_name_H-M 'P 1'
_symmetry_Int_Tables_number 1
loop_
_symmetry_equiv_pos_as_xyz
'x,y,z'
loop_
_atom_site_label
_atom_site_type_symbol
_atom_site_fract_x
_atom_site_fract_y
_atom_site_fract_z
Rb1 Rb 0.205 0.477 0.407
Rb2 Rb 0.795 0.523 0.593
Rb3 Rb 0.295 0.977 0.093
Rb4 Rb 0.705 0.023 0.907
Rb5 Rb 0.691 0.391 0.291
Rb6 Rb 0.309 0.609 0.709
Rb7 Rb 0.809 0.891 0.209
Rb8 Rb 0.191 0.109 0.791
Zn1 Zn 0.377 0.093 0.438
Zn2 Zn 0.623 0.907 0.562
Zn3 Zn 0.123 0.593 0.062
Zn4 Zn 0.877 0.407 0.938
Zn5 Zn 0.403 0.365 0.139
Zn6 Zn 0.597 0.635 0.861
Zn7 Zn 0.097 0.865 0.361
Zn8 Zn 0.903 0.135 0.639
Mo1 Mo 0.898 0.290 0.100
Mo2 Mo 0.102 0.710 0.900
Mo3 Mo 0.602 0.790 0.400
Mo4 Mo 0.398 0.210 0.600
Mo5 Mo 0.228 0.181 0.278
Mo6 Mo 0.772 0.819 0.722
Mo7 Mo 0.272 0.681 0.222
Mo8 Mo 0.728 0.319 0.778
Mo9 Mo 0.880 0.159 0.468
Mo10 Mo 0.120 0.841 0.532
Mo11 Mo 0.620 0.659 0.032
Mo12 Mo 0.380 0.341 0.968
O1 O 0.124 0.714 0.148
O2 O 0.876 0.286 0.852
O3 O 0.376 0.214 0.352
O4 O 0.624 0.786 0.648
O5 O 0.113 0.012 0.286
O6 O 0.887 0.988 0.714
O7 O 0.387 0.512 0.214
O8 O 0.613 0.488 0.786
O9 O 0.133 0.694 0.297
O10 O 0.867 0.306 0.703
O11 O 0.367 0.194 0.203
O12 O 0.633 0.806 0.797
O13 O 0.062 0.316 0.277
O14 O 0.938 0.684 0.723
O15 O 0.438 0.816 0.223
O16 O 0.562 0.184 0.777
O17 O 0.696 0.353 0.144
O18 O 0.304 0.647 0.856
O19 O 0.804 0.853 0.356
O20 O 0.196 0.147 0.644
O21 O 0.407 0.257 0.049
O22 O 0.593 0.743 0.951
O23 O 0.093 0.757 0.451
O24 O 0.907 0.243 0.549
O25 O 0.863 0.303 0.413
O26 O 0.137 0.697 0.587
O27 O 0.637 0.803 0.087
O28 O 0.363 0.197 0.913
O29 O 0.956 0.124 0.134
O30 O 0.044 0.876 0.866
O31 O 0.544 0.624 0.366
O32 O 0.456 0.376 0.634
O33 O 0.840 0.562 0.038
O34 O 0.160 0.438 0.962
O35 O 0.660 0.062 0.462
O36 O 0.340 0.938 0.538
O37 O 0.103 0.403 0.113
O38 O 0.897 0.597 0.887
O39 O 0.397 0.903 0.387
O40 O 0.603 0.097 0.613
O41 O 0.853 0.257 0.011
O42 O 0.147 0.743 0.989
O43 O 0.647 0.757 0.489
O44 O 0.353 0.243 0.511
O45 O 0.082 0.054 0.441
O46 O 0.918 0.946 0.559
O47 O 0.418 0.554 0.059
O48 O 0.582 0.446 0.941
```